Entry 1:
Entry from Alexandria via LeMat-Bulk: a relaxed structure of LaInTc (GGA-PBE).

Lattice parameters (Å, degrees): 4.7695 4.7695 4.7695 60.00 60.00 60.00
With the nearest neighbours (Å) after each atom.
Element x y z (fractional)
La1 0.5000 0.5000 0.5000  4 Tc 2.92
In1 0.0000 0.0000 0.0000  4 Tc 2.92
Tc1 0.7500 0.7500 0.7500  4 La 2.92, 4 In 2.92

Values from the calculation:
Distance to the lowest polymorph of the same formula (meV per atom): 393
E (eV per atom): -5.8114
Energy of formation from the pure elements (eV per atom): 0.1992
DOS(E_F) (states/eV/f.u.): 3.528
ρ (g cm⁻³): 7.61

=====

Entry 2:
Entry from Alexandria via LeMat-Bulk: a relaxed structure of LaIn2Tc (GGA-PBE).

Lattice parameters (Å, degrees): 4.3304 4.3246 5.0294 90.00 90.00 90.00
With the nearest neighbours (Å) after each atom.
Element x y z (fractional)
In1 0.5000 0.5000 0.0000  4 In 3.06, 4 La 3.32, 4 Tc 3.32
In2 0.0000 0.0000 0.0000  4 In 3.06, 4 Tc 3.32, 4 La 3.32
Tc1 0.0000 0.5000 0.5000  4 La 3.06, 8 In 3.32
La1 0.5000 0.0000 0.5000  4 Tc 3.06, 8 In 3.32

Values from the calculation:
Distance to the lowest polymorph of the same formula (meV per atom): 156
E (eV per atom): -5.0652
Energy of formation from the pure elements (eV per atom): 0.1273
DOS(E_F) (states/eV/f.u.): 4.601
ρ (g cm⁻³): 8.23